Entry 1
Compound: RePt2Rh
Source: Alexandria via LeMat-Bulk
Functional: PBE-GGA
Structure: optimized geometry

Cell lengths 4.7676, 4.7676, 2.7103 Å; angles 90.00, 90.00, 90.00 degrees
Closest atoms and distances in Å follow each position.
Positions (direct):
Re: 0.5000 0.5000 0.5000  2 Re 2.71, 8 Pt 2.74
Pt: 0.5000 0.0000 0.0000  2 Pt 2.71, 4 Rh 2.74, 4 Re 2.74
Pt: 0.0000 0.5000 0.0000  2 Pt 2.71, 4 Re 2.74, 4 Rh 2.74
Rh: 0.0000 0.0000 0.5000  2 Rh 2.71, 8 Pt 2.74

Output
SG = P4/mmm, No. 123
V = 61.6 Å³/cell



Entry 2
Compound: RePt2Rh
Source: Alexandria via LeMat-Bulk
Functional: PBE-GGA
Structure: optimized geometry

Cell lengths 4.7971, 4.7971, 4.7871 Å; angles 80.46, 80.46, 33.53 degrees
Closest atoms and distances in Å follow each position.
Positions (direct):
Re: 0.2500 0.2500 0.2500  6 Pt 2.75-2.77, 4 Rh 2.76, 2 Re 2.77
Rh: 0.7500 0.7500 0.7500  6 Pt 2.76-2.79, 4 Re 2.76, 2 Rh 2.77
Pt: 0.9976 0.9976 0.0055  6 Pt 2.73-2.80, 3 Re 2.75-2.77, 3 Rh 2.76-2.79
Pt: 0.5024 0.5024 0.4945  6 Pt 2.73-2.80, 3 Re 2.75-2.77, 3 Rh 2.76-2.79

Output
SG = C2/m, No. 12
V = 59.9 Å³/cell



Pick the least stable structure from those above. Pick: entry 1